P) Ti2SnPd4 | PBE-GGA | relaxed

a = 6.964 Å, b = 6.964 Å, c = 6.964 Å
α = 38.10°, β = 38.10°, γ = 38.10°
Element x y z (fractional)
Ti 0.229 0.229 0.229
Ti 0.771 0.771 0.771
Sn 0.500 0.500 0.500
Pd 0.085 0.085 0.085
Pd 0.360 0.360 0.360
Pd 0.640 0.640 0.640
Pd 0.915 0.915 0.915

Values from the calculation:
space group	R-3m, No. 166

Q) Ti2SnPd4 | PBE-GGA | relaxed

a = 5.521 Å, b = 7.051 Å, c = 7.053 Å
α = 119.47°, β = 101.31°, γ = 90.35°
Element x y z (fractional)
Ti 0.000 0.000 0.000
Ti 0.112 0.886 0.548
Ti 0.499 0.010 0.002
Ti 0.883 0.393 0.879
Sn 0.393 0.203 0.461
Sn 0.685 0.495 0.286
Pd 0.170 0.639 0.724
Pd 0.181 0.425 0.262
Pd 0.276 0.759 0.173
Pd 0.333 0.289 0.865
Pd 0.660 0.627 0.709
Pd 0.667 0.981 0.630
Pd 0.772 0.783 0.166
Pd 0.887 0.226 0.442

Values from the calculation:
space group	P1, No. 1

Stability ranking, top entry: P); the second entry is 1.3 kJ/mol of atoms less favorable.

P) TiSnPd5 | PBE-GGA | relaxed

a = 4.093 Å, b = 4.093 Å, c = 7.114 Å
α = 90.00°, β = 90.00°, γ = 90.00°
Element x y z (fractional)
Ti 0.000 0.000 0.000
Sn 0.500 0.500 0.500
Pd 0.000 0.000 0.500
Pd 0.000 0.500 0.216
Pd 0.000 0.500 0.784
Pd 0.500 0.000 0.216
Pd 0.500 0.000 0.784

Values from the calculation:
space group	P4/mmm, No. 123

Q) TiSnPd5 | PBE-GGA | relaxed

a = 5.320 Å, b = 5.320 Å, c = 9.394 Å
α = 91.87°, β = 91.87°, γ = 64.07°
Element x y z (fractional)
Ti 0.115 0.885 0.750
Ti 0.885 0.115 0.250
Sn 0.500 0.500 0.000
Sn 0.500 0.500 0.500
Pd 0.074 0.216 0.521
Pd 0.126 0.430 0.798
Pd 0.216 0.074 0.021
Pd 0.320 0.680 0.250
Pd 0.430 0.126 0.298
Pd 0.570 0.874 0.702
Pd 0.680 0.320 0.750
Pd 0.784 0.926 0.979
Pd 0.874 0.570 0.202
Pd 0.926 0.784 0.479

Values from the calculation:
space group	C2/c, No. 15

Stability ranking, top entry: P); the second entry is 3.5 kJ/mol of atoms less favorable.